[1]
Compound: CrTc2Au
Source: the Alexandria database
Functional: PBE
Structure: optimized geometry

Calculated values
* crystal system: orthorhombic
* relative energy among the computed polymorphs: 12.5 kJ/mol of atoms
* E: -8.064 eV/atom
* formation energy from the elements: 0.34 eV per atom

abc: 5.414 7.802 2.811
angles: 90.00 90.00 90.00
Space group Cmmm (No. 65)
One atom of each set of equivalent atoms:
Cr (0.000, 0.000, 0.000) [2 per cell]
Tc (0.250, 0.250, 0.500) [4 per cell]
Au (0.000, 0.500, 0.000) [2 per cell]

[2]
Compound: CrTc2Au
Source: the Alexandria database
Functional: PBE
Structure: optimized geometry

Calculated values
* crystal system: orthorhombic
* relative energy among the computed polymorphs: 10.9 kJ/mol of atoms
* E: -8.081 eV/atom
* formation energy from the elements: 0.33 eV per atom

abc: 2.973 4.393 9.185
angles: 90.00 90.00 90.00
Space group Immm (No. 71)
One atom of each set of equivalent atoms:
Cr (0.000, 0.000, 0.000) [2 per cell]
Tc (0.000, 0.500, 0.285) [4 per cell]
Au (0.000, 0.000, 0.500) [2 per cell]

[3]
Compound: CrTc2Au
Source: the Alexandria database
Functional: PBE
Structure: optimized geometry

Calculated values
* crystal system: trigonal
* relative energy among the computed polymorphs: 4.0 kJ/mol of atoms
* E: -8.152 eV/atom
* formation energy from the elements: 0.26 eV per atom

abc: 2.7530 2.7530 27.1227
angles: 90.00 90.00 120.00
Space group R-3m (No. 166, hexagonal axes)
One atom of each set of equivalent atoms:
Cr (0.0000, 0.0000, 0.0000) [3 per cell]
Tc (0.0000, 0.0000, 0.2587) [6 per cell]
Au (0.0000, 0.0000, 0.5000) [3 per cell]

[4]
Compound: Cr2TcTeAu
Source: the Alexandria database
Functional: PBE
Structure: optimized geometry

Calculated values
* crystal system: tetragonal
* E: -5.524 eV/atom
* uncorrected formation energy: 1.683 eV/atom

abc: 4.993 4.993 5.197
angles: 90.00 90.00 90.00
Space group P4/mmm (No. 123)
One atom of each set of equivalent atoms:
Cr (0.000, 0.500, 0.000) [2 per cell]
Tc (0.000, 0.000, 0.500) [1 per cell]
Te (0.500, 0.500, 0.000) [1 per cell]
Au (0.500, 0.500, 0.500) [1 per cell]

[5]
Compound: Tl2CrTcAu
Source: the Alexandria database
Functional: PBE
Structure: optimized geometry

Calculated values
* crystal system: tetragonal
* E: -4.277 eV/atom
* formation energy from the elements: 1.32 eV per atom

abc: 5.191 5.191 4.988
angles: 90.00 90.00 90.00
Space group P4/mmm (No. 123)
One atom of each set of equivalent atoms:
Tl (0.000, 0.500, 0.000) [2 per cell]
Cr (0.000, 0.000, 0.000) [1 per cell]
Tc (0.500, 0.500, 0.500) [1 per cell]
Au (0.000, 0.000, 0.500) [1 per cell]

[6]
Compound: Cr2TeAu
Source: the Alexandria database
Functional: PBE
Structure: optimized geometry

Calculated values
* crystal system: tetragonal
* E: -6.120 eV/atom
* uncorrected formation energy: 0.297 eV/atom

abc: 3.896 3.896 5.556
angles: 90.00 90.00 90.00
Space group P4mm (No. 99)
One atom of each set of equivalent atoms:
Cr (0.000, 0.000, 0.000) [1 per cell]
Cr (0.500, 0.500, 0.397) [1 per cell]
Te (0.000, 0.000, 0.498) [1 per cell]
Au (0.500, 0.500, 0.919) [1 per cell]

Question: The highest E belongs to which entry?
Answer: Tl2CrTcAu

Question: The highest E belongs to which entry?
Answer: Tl2CrTcAu